(1)
First-principles (PBE) data for La2ZrCr after structural relaxation, as listed in Alexandria via LeMat-Bulk.

The structure in CIF format:
```
data_La2ZrCr
_chemical_formula_sum 'La8 Zr4 Cr4'
_cell_length_a 8.465
_cell_length_b 8.465
_cell_length_c 6.277
_cell_angle_alpha 90.00
_cell_angle_beta 90.00
_cell_angle_gamma 90.00
_space_group_name_H-M_alt 'I -4 2 d'
_space_group_IT_number 122
_space_group_name_Hall 'I -4 2bw'
loop_
_atom_site_label
_atom_site_type_symbol
_atom_site_fract_x
_atom_site_fract_y
_atom_site_fract_z
_atom_site_occupancy
La1 La 0.211 0.250 0.125 1
Zr1 Zr 0.000 0.000 0.500 1
Cr1 Cr 0.000 0.000 0.000 1
```

Computed properties:
energy above the lowest structure with this stoichiometry: 370 meV/atom
DFT formation energy: 657 meV/atom
DOS(E_F): 1.53 states/eV/atom



(2)
First-principles (PBE) data for Pa2InPN5 after structural relaxation, as listed in Alexandria via LeMat-Bulk.

The structure in CIF format:
```
data_Pa2InPN5
_chemical_formula_sum 'Pa4 In2 P2 N10'
_cell_length_a 6.753
_cell_length_b 6.753
_cell_length_c 5.367
_cell_angle_alpha 90.00
_cell_angle_beta 90.00
_cell_angle_gamma 90.00
_space_group_name_H-M_alt 'P 4/m b m'
_space_group_IT_number 127
_space_group_name_Hall '-P 4 2ab'
loop_
_atom_site_label
_atom_site_type_symbol
_atom_site_fract_x
_atom_site_fract_y
_atom_site_fract_z
_atom_site_occupancy
Pa1 Pa 0.189 0.311 0.000 1
In1 In 0.000 0.000 0.500 1
P1 P 0.000 0.500 0.500 1
N1 N 0.000 0.000 0.000 1
N2 N 0.126 0.626 0.263 1
```

Computed properties:
E: -8.271 eV per atom
DOS(E_F): 0.64 states/eV/atom



(3)
First-principles (PBE) data for Y2Sc2C2O after structural relaxation, as listed in Alexandria via LeMat-Bulk.

The structure in CIF format:
```
data_Y2Sc2C2O
_chemical_formula_sum 'Y4 Sc4 C4 O2'
_cell_length_a 11.855
_cell_length_b 3.304
_cell_length_c 6.601
_cell_angle_alpha 90.00
_cell_angle_beta 119.59
_cell_angle_gamma 90.00
_space_group_name_H-M_alt 'C 1 2/m 1'
_space_group_IT_number 12
loop_
_space_group_symop_operation_xyz
'x,y,z'
'-x,-y,-z'
'-x,y,-z'
'x,-y,z'
'x+1/2,y+1/2,z'
'-x+1/2,-y+1/2,-z'
'-x+1/2,y+1/2,-z'
'x+1/2,-y+1/2,z'
loop_
_atom_site_label
_atom_site_type_symbol
_atom_site_fract_x
_atom_site_fract_y
_atom_site_fract_z
_atom_site_occupancy
Y1 Y 0.021 0.000 0.249 1
Sc1 Sc 0.224 0.500 0.787 1
C1 C 0.138 0.500 0.037 1
O1 O 0.000 0.500 0.500 1
```

Computed properties:
E: -7.952 eV per atom
DOS(E_F): 0.55 states/eV/atom



(4)
First-principles (PBE) data for CaAc3Pm3Se8 after structural relaxation, as listed in Alexandria via LeMat-Bulk.

The structure in CIF format:
```
data_CaAc3Pm3Se8
_chemical_formula_sum 'Ca3 Ac9 Pm9 Se24'
_cell_length_a 8.5512
_cell_length_b 8.5512
_cell_length_c 21.4887
_cell_angle_alpha 90.00
_cell_angle_beta 90.00
_cell_angle_gamma 120.00
_space_group_name_H-M_alt 'R -3 m'
_space_group_IT_number 166
_space_group_name_Hall '-R 3 2"'
loop_
_atom_site_label
_atom_site_type_symbol
_atom_site_fract_x
_atom_site_fract_y
_atom_site_fract_z
_atom_site_occupancy
Ca1 Ca 0.0000 0.0000 0.0000 1
Ac1 Ac 0.0000 0.5000 0.5000 1
Pm1 Pm 0.0000 0.5000 0.0000 1
Se1 Se 0.0000 0.0000 0.2558 1
Se2 Se 0.0009 0.5005 0.2553 1
```

Computed properties:
E: -5.677 eV per atom
DOS(E_F): 0.22 states/eV/atom



(5)
First-principles (PBE) data for Tb4DyY2Sc after structural relaxation, as listed in Alexandria via LeMat-Bulk.

The structure in CIF format:
```
data_Tb4DyY2Sc
_chemical_formula_sum 'Tb4 Dy1 Y2 Sc1'
_cell_length_a 4.987
_cell_length_b 4.987
_cell_length_c 9.944
_cell_angle_alpha 90.00
_cell_angle_beta 90.00
_cell_angle_gamma 90.00
_space_group_name_H-M_alt 'P 4/m m m'
_space_group_IT_number 123
_space_group_name_Hall '-P 4 2'
loop_
_atom_site_label
_atom_site_type_symbol
_atom_site_fract_x
_atom_site_fract_y
_atom_site_fract_z
_atom_site_occupancy
Tb1 Tb 0.000 0.500 0.245 1
Dy1 Dy 0.000 0.000 0.500 1
Y1 Y 0.000 0.000 0.000 1
Y2 Y 0.500 0.500 0.500 1
Sc1 Sc 0.500 0.500 0.000 1
```

Computed properties:
DFT formation energy: 33 meV/atom
DOS(E_F): 1.50 states/eV/atom



(6)
First-principles (PBE) data for UFeSi3Ni after structural relaxation, as listed in Alexandria via LeMat-Bulk.

The structure in CIF format:
```
data_UFeSi3Ni
_chemical_formula_sum 'U4 Fe4 Si12 Ni4'
_cell_length_a 5.634
_cell_length_b 10.673
_cell_length_c 6.394
_cell_angle_alpha 90.00
_cell_angle_beta 90.00
_cell_angle_gamma 90.00
_space_group_name_H-M_alt 'C m c m'
_space_group_IT_number 63
_space_group_name_Hall '-C 2c 2'
loop_
_atom_site_label
_atom_site_type_symbol
_atom_site_fract_x
_atom_site_fract_y
_atom_site_fract_z
_atom_site_occupancy
U1 U 0.000 0.236 0.250 1
Fe1 Fe 0.000 0.097 0.750 1
Si1 Si 0.000 0.299 0.750 1
Si2 Si 0.214 0.000 0.000 1
Ni1 Ni 0.000 0.495 0.250 1
```

Computed properties:
E: -7.091 eV per atom
DOS(E_F): 1.72 states/eV/atom



(7)
First-principles (PBE) data for KScAuI6 after structural relaxation, as listed in Alexandria via LeMat-Bulk.

The structure in CIF format:
```
data_KScAuI6
_chemical_formula_sum 'K1 Sc1 Au1 I6'
_cell_length_a 7.446
_cell_length_b 7.450
_cell_length_c 7.673
_cell_angle_alpha 94.59
_cell_angle_beta 94.69
_cell_angle_gamma 111.78
_space_group_name_H-M_alt 'P 1'
_space_group_IT_number 1
loop_
_space_group_symop_operation_xyz
'x,y,z'
loop_
_atom_site_label
_atom_site_type_symbol
_atom_site_fract_x
_atom_site_fract_y
_atom_site_fract_z
_atom_site_occupancy
K1 K 0.000 0.000 0.000 1
Sc1 Sc 0.346 0.654 0.501 1
Au1 Au 0.699 0.301 0.501 1
I1 I 0.051 0.625 0.241 1
I2 I 0.059 0.350 0.676 1
I3 I 0.377 0.949 0.762 1
I4 I 0.426 0.363 0.266 1
I5 I 0.638 0.573 0.736 1
I6 I 0.650 0.941 0.326 1
```

Computed properties:
E: -3.062 eV per atom
DOS(E_F): 0.68 states/eV/atom



(8)
First-principles (PBE) data for Pm6AgPt5 after structural relaxation, as listed in Alexandria via LeMat-Bulk.

The structure in CIF format:
```
data_Pm6AgPt5
_chemical_formula_sum 'Pm12 Ag2 Pt10'
_cell_length_a 5.093
_cell_length_b 7.190
_cell_length_c 15.350
_cell_angle_alpha 90.00
_cell_angle_beta 90.00
_cell_angle_gamma 90.00
_space_group_name_H-M_alt 'I m m m'
_space_group_IT_number 71
_space_group_name_Hall '-I 2 2'
loop_
_atom_site_label
_atom_site_type_symbol
_atom_site_fract_x
_atom_site_fract_y
_atom_site_fract_z
_atom_site_occupancy
Pm1 Pm 0.000 0.240 0.000 1
Pm2 Pm 0.000 0.255 0.330 1
Ag1 Ag 0.000 0.000 0.500 1
Pt1 Pt 0.000 0.000 0.171 1
Pt2 Pt 0.000 0.500 0.156 1
Pt3 Pt 0.000 0.500 0.500 1
```

Computed properties:
DFT formation energy: -955 meV/atom
DOS(E_F): 0.71 states/eV/atom